SnHOF2 | SCAN | PBEsol geometry

Spin magnetization, μB/cell: 0.0
Uncorrected energy, eV per atom: -11.5028
Crystal system: tetragonal

Cell: 3.272 3.272 4.151 Å, 90.00 90.00 90.00°
Space group P4/mmm (No. 123)
Unique sites:
Sn1 0.000 0.000 0.000 x1
H1 0.500 0.500 0.500 x1
O1 0.500 0.500 0.000 x1
F1 0.000 0.500 0.500 x2